# GGA-PBE YMgBiTe, optimized geometry
data_YMgBiTe
_chemical_formula_sum 'Y6 Mg6 Bi6 Te6'
_symmetry_space_group_name_H-M 'R -3 m'
_symmetry_Int_Tables_number 166
_symmetry_space_group_name_Hall '-R 3 2"'
_cell_length_a 4.8869
_cell_length_b 4.8869
_cell_length_c 37.2973
_cell_angle_alpha 90.00
_cell_angle_beta 90.00
_cell_angle_gamma 120.00
loop_
_atom_site_label
_atom_site_type_symbol
_atom_site_fract_x
_atom_site_fract_y
_atom_site_fract_z
Y1 Y 0.0000 0.0000 0.1072
Mg1 Mg 0.0000 0.0000 0.3062
Bi1 Bi 0.0000 0.0000 0.3867
Te1 Te 0.0000 0.0000 0.1975
# **Formation energy (no corrections)**: -740 meV per atom

# GGA-PBE Th4MgBi5, optimized geometry
data_Th4MgBi5
_chemical_formula_sum 'Th8 Mg2 Bi10'
_symmetry_space_group_name_H-M 'I 4/m m m'
_symmetry_Int_Tables_number 139
_symmetry_space_group_name_Hall '-I 4 2'
_cell_length_a 4.575
_cell_length_b 4.575
_cell_length_c 32.414
_cell_angle_alpha 90.00
_cell_angle_beta 90.00
_cell_angle_gamma 90.00
loop_
_atom_site_label
_atom_site_type_symbol
_atom_site_fract_x
_atom_site_fract_y
_atom_site_fract_z
Th1 Th 0.000 0.000 0.098
Th2 Th 0.000 0.000 0.299
Mg1 Mg 0.000 0.000 0.500
Bi1 Bi 0.000 0.000 0.000
Bi2 Bi 0.000 0.000 0.199
Bi3 Bi 0.000 0.000 0.402
# **Formation enthalpy at 0 K**: -44.9 kJ per mole of atoms

# GGA-PBE ThMgBi2, optimized geometry
data_ThMgBi2
_chemical_formula_sum 'Th4 Mg4 Bi8'
_symmetry_space_group_name_H-M 'F m -3 m'
_symmetry_Int_Tables_number 225
_symmetry_space_group_name_Hall '-F 4 2 3'
_cell_length_a 7.795
_cell_length_b 7.795
_cell_length_c 7.795
_cell_angle_alpha 90.00
_cell_angle_beta 90.00
_cell_angle_gamma 90.00
loop_
_atom_site_label
_atom_site_type_symbol
_atom_site_fract_x
_atom_site_fract_y
_atom_site_fract_z
Th1 Th 0.000 0.000 0.000
Mg1 Mg 0.000 0.000 0.500
Bi1 Bi 0.250 0.250 0.250
# **Polymorph energy (0 for the lowest one)**: 182.9 meV/atom
# **Formation enthalpy at 0 K**: -21.4 kJ per mole of atoms

# GGA-PBE Th2MgBi, optimized geometry
data_Th2MgBi
_chemical_formula_sum 'Th2 Mg1 Bi1'
_symmetry_space_group_name_H-M 'P 4/m m m'
_symmetry_Int_Tables_number 123
_symmetry_space_group_name_Hall '-P 4 2'
_cell_length_a 4.964
_cell_length_b 4.964
_cell_length_c 4.761
_cell_angle_alpha 90.00
_cell_angle_beta 90.00
_cell_angle_gamma 90.00
loop_
_atom_site_label
_atom_site_type_symbol
_atom_site_fract_x
_atom_site_fract_y
_atom_site_fract_z
Th1 Th 0.000 0.500 0.000
Mg1 Mg 0.000 0.000 0.500
Bi1 Bi 0.500 0.500 0.500
# **Polymorph energy (0 for the lowest one)**: 16.7 meV/atom
# **Formation enthalpy at 0 K**: -18.6 kJ per mole of atoms

# GGA-PBE ThMgBi2, optimized geometry
data_ThMgBi2
_chemical_formula_sum 'Th1 Mg1 Bi2'
_symmetry_space_group_name_H-M 'P 4/m m m'
_symmetry_Int_Tables_number 123
_symmetry_space_group_name_Hall '-P 4 2'
_cell_length_a 4.150
_cell_length_b 4.150
_cell_length_c 6.848
_cell_angle_alpha 90.00
_cell_angle_beta 90.00
_cell_angle_gamma 90.00
loop_
_atom_site_label
_atom_site_type_symbol
_atom_site_fract_x
_atom_site_fract_y
_atom_site_fract_z
Th1 Th 0.000 0.000 0.000
Mg1 Mg 0.000 0.000 0.500
Bi1 Bi 0.500 0.500 0.251
# **Polymorph energy (0 for the lowest one)**: 65.8 meV/atom
# **Formation enthalpy at 0 K**: -32.7 kJ per mole of atoms

# GGA-PBE ThMgBi2, optimized geometry
data_ThMgBi2
_chemical_formula_sum 'Th1 Mg1 Bi2'
_symmetry_space_group_name_H-M 'P 4/m m m'
_symmetry_Int_Tables_number 123
_symmetry_space_group_name_Hall '-P 4 2'
_cell_length_a 5.251
_cell_length_b 5.251
_cell_length_c 4.193
_cell_angle_alpha 90.00
_cell_angle_beta 90.00
_cell_angle_gamma 90.00
loop_
_atom_site_label
_atom_site_type_symbol
_atom_site_fract_x
_atom_site_fract_y
_atom_site_fract_z
Th1 Th 0.000 0.000 0.000
Mg1 Mg 0.500 0.500 0.000
Bi1 Bi 0.000 0.500 0.500
# **Polymorph energy (0 for the lowest one)**: 0.0 meV/atom
# **Formation enthalpy at 0 K**: -39.0 kJ per mole of atoms

# GGA-PBE ThMgBi, optimized geometry
data_ThMgBi
_chemical_formula_sum 'Th4 Mg4 Bi4'
_symmetry_space_group_name_H-M 'C 1 2/m 1'
_symmetry_Int_Tables_number 12
_cell_length_a 11.326
_cell_length_b 4.272
_cell_length_c 8.243
_cell_angle_alpha 90.00
_cell_angle_beta 108.25
_cell_angle_gamma 90.00
loop_
_symmetry_equiv_pos_as_xyz
'x,y,z'
'-x,-y,-z'
'-x,y,-z'
'x,-y,z'
'x+1/2,y+1/2,z'
'-x+1/2,-y+1/2,-z'
'-x+1/2,y+1/2,-z'
'x+1/2,-y+1/2,z'
loop_
_atom_site_label
_atom_site_type_symbol
_atom_site_fract_x
_atom_site_fract_y
_atom_site_fract_z
Th1 Th 0.121 0.000 0.438
Mg1 Mg 0.134 0.500 0.776
Bi1 Bi 0.163 0.500 0.159
# **Polymorph energy (0 for the lowest one)**: 30.1 meV/atom
# **Formation enthalpy at 0 K**: -12.0 kJ per mole of atoms

# GGA-PBE ThMgBi2, optimized geometry
data_ThMgBi2
_chemical_formula_sum 'Th4 Mg4 Bi8'
_symmetry_space_group_name_H-M 'P n m a'
_symmetry_Int_Tables_number 62
_cell_length_a 22.810
_cell_length_b 4.555
_cell_length_c 4.553
_cell_angle_alpha 90.00
_cell_angle_beta 90.00
_cell_angle_gamma 90.00
loop_
_symmetry_equiv_pos_as_xyz
'x,y,z'
'-x,-y,-z'
'-x+1/2,-y,z+1/2'
'x+1/2,y,-z+1/2'
'x+1/2,-y+1/2,-z+1/2'
'-x+1/2,y+1/2,z+1/2'
'-x,y+1/2,-z'
'x,-y+1/2,z'
loop_
_atom_site_label
_atom_site_type_symbol
_atom_site_fract_x
_atom_site_fract_y
_atom_site_fract_z
Th1 Th 0.110 0.250 0.250
Mg1 Mg 0.250 0.250 0.749
Bi1 Bi 0.000 0.250 0.750
Bi2 Bi 0.152 0.750 0.749
# **Polymorph energy (0 for the lowest one)**: 62.6 meV/atom
# **Formation enthalpy at 0 K**: -33.0 kJ per mole of atoms

# GGA-PBE Th2MgBi, optimized geometry
data_Th2MgBi
_chemical_formula_sum 'Th2 Mg1 Bi1'
_symmetry_space_group_name_H-M 'P 4/m m m'
_symmetry_Int_Tables_number 123
_symmetry_space_group_name_Hall '-P 4 2'
_cell_length_a 4.120
_cell_length_b 4.120
_cell_length_c 7.046
_cell_angle_alpha 90.00
_cell_angle_beta 90.00
_cell_angle_gamma 90.00
loop_
_atom_site_label
_atom_site_type_symbol
_atom_site_fract_x
_atom_site_fract_y
_atom_site_fract_z
Th1 Th 0.000 0.000 0.249
Mg1 Mg 0.500 0.500 0.500
Bi1 Bi 0.500 0.500 0.000
# **Polymorph energy (0 for the lowest one)**: 0.0 meV/atom
# **Formation enthalpy at 0 K**: -20.2 kJ per mole of atoms

# GGA-PBE Th2MgBi, optimized geometry
data_Th2MgBi
_chemical_formula_sum 'Th6 Mg3 Bi3'
_symmetry_space_group_name_H-M 'R -3 m'
_symmetry_Int_Tables_number 166
_symmetry_space_group_name_Hall '-R 3 2"'
_cell_length_a 3.4456
_cell_length_b 3.4456
_cell_length_c 36.8748
_cell_angle_alpha 90.00
_cell_angle_beta 90.00
_cell_angle_gamma 120.00
loop_
_atom_site_label
_atom_site_type_symbol
_atom_site_fract_x
_atom_site_fract_y
_atom_site_fract_z
Th1 Th 0.0000 0.0000 0.0889
Mg1 Mg 0.0000 0.0000 0.5000
Bi1 Bi 0.0000 0.0000 0.0000
# **Polymorph energy (0 for the lowest one)**: 326.6 meV/atom
# **Formation enthalpy at 0 K**: 11.3 kJ per mole of atoms

# GGA-PBE ThMgBi, optimized geometry
data_ThMgBi
_chemical_formula_sum 'Th1 Mg1 Bi1'
_symmetry_space_group_name_H-M 'P -6 m 2'
_symmetry_Int_Tables_number 187
_symmetry_space_group_name_Hall 'P -6 2'
_cell_length_a 5.2052
_cell_length_b 5.2052
_cell_length_c 3.6534
_cell_angle_alpha 90.00
_cell_angle_beta 90.00
_cell_angle_gamma 120.00
loop_
_atom_site_label
_atom_site_type_symbol
_atom_site_fract_x
_atom_site_fract_y
_atom_site_fract_z
Th1 Th 0.0000 0.0000 0.0000
Mg1 Mg 0.6667 0.3333 0.5000
Bi1 Bi 0.3333 0.6667 0.5000
# **Polymorph energy (0 for the lowest one)**: 7.4 meV/atom
# **Formation enthalpy at 0 K**: -14.2 kJ per mole of atoms

# GGA-PBE ThMgBi, optimized geometry
data_ThMgBi
_chemical_formula_sum 'Th2 Mg2 Bi2'
_symmetry_space_group_name_H-M 'I 4 m m'
_symmetry_Int_Tables_number 107
_symmetry_space_group_name_Hall 'I 4 -2'
_cell_length_a 3.875
_cell_length_b 3.875
_cell_length_c 11.434
_cell_angle_alpha 90.00
_cell_angle_beta 90.00
_cell_angle_gamma 90.00
loop_
_atom_site_label
_atom_site_type_symbol
_atom_site_fract_x
_atom_site_fract_y
_atom_site_fract_z
Th1 Th 0.000 0.000 0.000
Mg1 Mg 0.000 0.000 0.683
Bi1 Bi 0.000 0.000 0.314
# **Polymorph energy (0 for the lowest one)**: 0.0 meV/atom
# **Formation enthalpy at 0 K**: -14.9 kJ per mole of atoms

Total moment values (in μB/cell) by entry order: 0.0 0.0 0.0 0.0 0.0 0.0 0.0 0.0 0.0 0.0 0.0 0.0.
Ρ values (in Mg/m³) by entry order: 5.81 9.78 9.46 9.87 9.49 9.68 8.16 9.47 9.68 9.16 9.01 9.00.